Compound: Dy4In2O
Source: the Alexandria database
Functional: PBE
Structure: optimized geometry

The structure belongs to space group P2_1/m (No. 11); the cell edges are 6.371, 6.845 and 9.067 Å and the angles 90.00°, 110.29° and 90.00°. The asymmetric unit holds Dy at (0.044, 0.001, 0.281), Dy at (0.362, 0.750, 0.047), Dy at (0.419, 0.750, 0.650), In at (0.194, 0.250, 0.025), In at (0.317, 0.250, 0.592) and O at (0.196, 0.750, 0.791).

The value obtained for the electronic total energy is -5.230 eV/atom. The mass density is 8.0 Mg/m³. The density of states at the Fermi level is 3.4 states/eV/f.u. Its uncorrected formation energy is -1.109 eV per atom. The crystal system is monoclinic. The energy above the most stable polymorph in this dataset is 0.0 meV/atom. For the total magnetization, the calculation gives 0.00 μB per formula unit.

---

Compound: CaInSi
Source: the Alexandria database
Functional: PBE
Structure: optimized geometry

The structure belongs to space group I4mm (No. 107); the cell edges are 3.593, 3.593 and 11.224 Å and the angles 90.00°, 90.00° and 90.00°. The asymmetric unit holds Ca at (0.000, 0.000, 0.000), In at (0.000, 0.000, 0.702) and Si at (0.000, 0.000, 0.324).

The value obtained for the electronic total energy is -3.510 eV/atom. The mass density is 4.2 Mg/m³. The density of states at the Fermi level is 0.7 states/eV/f.u. Its uncorrected formation energy is -0.123 eV per atom. The crystal system is tetragonal. For the total magnetization, the calculation gives 0.00 μB per formula unit.

---

Compound: Li2PrMnN4
Source: the Alexandria database
Functional: PBE
Structure: optimized geometry

The structure belongs to space group I-42m (No. 121); the cell edges are 5.406, 5.406 and 6.458 Å and the angles 90.00°, 90.00° and 90.00°. The asymmetric unit holds Li at (0.000, 0.500, 0.250), Pr at (0.000, 0.000, 0.000), Mn at (0.000, 0.000, 0.500) and N at (0.182, 0.182, 0.654).

The value obtained for the electronic total energy is -6.968 eV/atom. The mass density is 4.7 Mg/m³. The density of states at the Fermi level is 0.2 states/eV/f.u. Its uncorrected formation energy is -0.583 eV per atom. The crystal system is tetragonal. For the total magnetization, the calculation gives 0.00 μB per formula unit.

---

Compound: Pm3Er2TmSe6
Source: the Alexandria database
Functional: PBE
Structure: optimized geometry

The structure belongs to space group C2/m (No. 12); the cell edges are 18.057, 4.066 and 8.338 Å and the angles 90.00°, 105.15° and 90.00°. The asymmetric unit holds Pm at (0.000, 0.000, 0.000), Pm at (0.167, 0.500, 0.334), Er at (0.167, 0.500, 0.834), Tm at (0.000, 0.000, 0.500), Se at (0.003, 0.500, 0.740), Se at (0.163, 0.000, 0.592) and Se at (0.170, 0.000, 0.075).

The value obtained for the electronic total energy is -5.829 eV/atom. The mass density is 7.9 Mg/m³. The density of states at the Fermi level is 5.0 states/eV/f.u. Its uncorrected formation energy is -1.766 eV per atom. The crystal system is monoclinic. For the total magnetization, the calculation gives 0.00 μB per formula unit.

---

- Among the records above, which one has the highest electronic total energy?
  CaInSi

---

- The highest density of states at the Fermi level belongs to which entry?
  Pm3Er2TmSe6

---

- Number 3 is which compound?
  Li2PrMnN4

---

- Number 4 is which compound?
  Pm3Er2TmSe6